Record 1
Entry from Alexandria: a relaxed structure of Ce2Nd2Ga3 (PBE-GGA).

Values from the calculation:
The calculation puts the volume at 24.59 Å³ per atom. The calculation puts the calculated formation energy at -2.8 eV/f.u. The value obtained for the offset from the most stable computed form is 0.0000 eV per atom.

```
Ce2Nd2Ga3
1.0
4.1238 0.0000 0.5473
0.0000 3.4132 0.0000
0.4667 0.0000 12.2934
Ce Nd Ga
2 2 3
Cartesian
3.2056 1.7066 7.4657
1.3849 1.7066 5.3750
2.7617 1.7066 10.8109
1.8288 1.7066 2.0297
3.6589 0.0000 4.0499
0.0000 0.0000 0.0000
0.9316 0.0000 8.7908
```

=====

Record 2
Entry from Alexandria: a relaxed structure of CeNd2Ga2 (PBE-GGA).

Values from the calculation:
The calculation puts the volume at 29.33 Å³ per atom. The calculation puts the calculated formation energy at -1.4 eV/f.u. The value obtained for the offset from the most stable computed form is 0.1604 eV per atom.

```
CeNd2Ga2
1.0
-1.7490 4.8850 -3.1140
-7.6196 -0.1056 4.1140
6.7957 0.9131 3.4953
Ce Nd Ga
2 4 4
Cartesian
-5.1216 3.6110 -0.2785
-4.2471 1.1685 1.2785
-2.2412 4.7259 2.7925
-0.3317 0.9667 1.7028
0.7102 3.4358 -0.8889
-3.2831 2.2568 5.3842
-0.4446 2.5297 4.2182
-2.1283 3.1628 0.2771
-5.4143 0.6627 4.0805
2.8414 5.0299 0.4148
```

=====

Record 3
Entry from Alexandria: a relaxed structure of Ce2NdGa (PBE-GGA).

Values from the calculation:
The calculation puts the volume at 26.66 Å³ per atom. The calculation puts the calculated formation energy at -1.0 eV/f.u. The value obtained for the offset from the most stable computed form is 0.0303 eV per atom.

```
Ce2NdGa
1.0
5.4233 0.0000 0.0000
-2.7117 5.7863 0.0000
0.0000 0.0000 6.7976
Ce Nd Ga
4 2 2
Cartesian
0.0000 4.4663 6.5125
2.7117 1.3200 0.2851
2.7117 1.3200 3.1137
0.0000 4.4663 3.6839
2.7117 4.8437 1.6994
0.0000 0.9426 5.0982
0.0000 2.1179 1.6994
2.7117 3.6684 5.0982
```